(1)
DFT (PBE-GGA) results for a geometry-optimized CaPmCuO4 structure.

Cell lengths 6.578, 6.578, 6.578 Å; angles 146.42, 146.42, 48.22 degrees
Atoms (fractional coordinates):
1 Ca 0.000 0.000 0.000
2 Pm 0.721 0.721 0.000
3 Cu 0.363 0.363 0.000
4 O 0.191 0.191 0.000
5 O 0.356 0.856 0.500
6 O 0.533 0.533 0.000
7 O 0.856 0.356 0.500

## Properties
Calculated total energy ... -46.2 eV/cell
Formation energy without anion corrections ... -2.21 eV/atom

---

(2)
DFT (PBE-GGA) results for a geometry-optimized Sc5Cd4Rh structure.

Cell lengths 3.444, 3.444, 17.665 Å; angles 90.00, 90.00, 90.00 degrees
Atoms (fractional coordinates):
1 Sc 0.000 0.000 0.000
2 Sc 0.000 0.000 0.206
3 Sc 0.000 0.000 0.415
4 Sc 0.000 0.000 0.585
5 Sc 0.000 0.000 0.794
6 Cd 0.500 0.500 0.103
7 Cd 0.500 0.500 0.309
8 Cd 0.500 0.500 0.691
9 Cd 0.500 0.500 0.897
10 Rh 0.500 0.500 0.500

## Properties
Calculated total energy ... -46.9 eV/cell
Energy of formation ... -412 kJ/mol of formula units

---

(3)
DFT (PBE-GGA) results for a geometry-optimized Ti2AlSb structure.

Cell lengths 10.331, 10.331, 10.331 Å; angles 157.68, 157.68, 31.77 degrees
Atoms (fractional coordinates):
1 Ti 0.123 0.625 0.998
2 Ti 0.375 0.373 0.498
3 Ti 0.627 0.125 0.002
4 Ti 0.875 0.877 0.502
5 Al 0.000 0.000 0.000
6 Al 0.750 0.250 0.500
7 Sb 0.250 0.750 0.500
8 Sb 0.500 0.500 0.000

## Properties
Calculated total energy ... -46.2 eV/cell
Formation energy without anion corrections ... 0.14 eV/atom
Excess energy over the best structure of this formula in the dataset ... 42.1 kJ/mol of atoms

---

(4)
DFT (PBE-GGA) results for a geometry-optimized AcPm2HoTm4 structure.

Cell lengths 9.591, 9.591, 9.591 Å; angles 138.02, 103.51, 91.32 degrees
Atoms (fractional coordinates):
1 Ac 0.000 0.000 0.000
2 Ac 0.500 0.000 0.500
3 Pm 0.000 0.500 0.500
4 Pm 0.500 0.000 0.000
5 Pm 0.500 0.500 0.000
6 Pm 0.500 0.500 0.500
7 Ho 0.000 0.000 0.500
8 Ho 0.000 0.500 0.000
9 Tm 0.237 0.742 0.496
10 Tm 0.246 0.259 0.513
11 Tm 0.246 0.733 0.987
12 Tm 0.254 0.258 0.996
13 Tm 0.746 0.742 0.004
14 Tm 0.754 0.267 0.013
15 Tm 0.754 0.741 0.487
16 Tm 0.763 0.258 0.504

## Properties
Calculated total energy ... -65.1 eV/cell
Energy of formation ... 342 kJ/mol of formula units

---

(5)
DFT (PBE-GGA) results for a geometry-optimized Ba3Sr3Pd4 structure.

Cell lengths 4.627, 8.451, 8.451 Å; angles 90.01, 90.00, 90.00 degrees
Atoms (fractional coordinates):
1 Ba 0.000 0.000 0.000
2 Ba 0.000 0.497 0.821
3 Ba 0.000 0.821 0.497
4 Sr 0.000 0.322 0.322
5 Sr 0.500 0.161 0.655
6 Sr 0.500 0.655 0.161
7 Pd 0.500 0.043 0.288
8 Pd 0.500 0.288 0.043
9 Pd 0.500 0.526 0.526
10 Pd 0.500 0.783 0.783

## Properties
Calculated total energy ... -36.3 eV/cell
Energy of formation ... -455 kJ/mol of formula units

---

(6)
DFT (PBE-GGA) results for a geometry-optimized LaHfMg2Pd structure.

Cell lengths 5.474, 5.474, 5.404 Å; angles 90.00, 90.00, 90.00 degrees
Atoms (fractional coordinates):
1 La 0.000 0.000 0.000
2 Hf 0.000 0.000 0.500
3 Mg 0.000 0.500 0.500
4 Mg 0.500 0.000 0.500
5 Pd 0.500 0.500 0.000

## Properties
Calculated total energy ... -18.1 eV/cell
Energy of formation ... 503 kJ/mol of formula units

---

(7)
DFT (PBE-GGA) results for a geometry-optimized Be2AsPb structure.

Cell lengths 4.360, 4.360, 3.694 Å; angles 90.00, 90.00, 92.60 degrees
Atoms (fractional coordinates):
1 Be 0.000 0.500 0.000
2 Be 0.500 0.000 0.000
3 As 0.000 0.000 0.500
4 Pb 0.500 0.500 0.500

## Properties
Calculated total energy ... -12.7 eV/cell
Energy of formation ... 296 kJ/mol of formula units
Excess energy over the best structure of this formula in the dataset ... 53.4 kJ/mol of atoms

---

(8)
DFT (PBE-GGA) results for a geometry-optimized YNi2Rh structure.

Cell lengths 4.803, 4.803, 4.803 Å; angles 130.88, 130.88, 72.01 degrees
Atoms (fractional coordinates):
1 Y 0.000 0.000 0.000
2 Ni 0.250 0.750 0.500
3 Ni 0.500 0.500 0.000
4 Rh 0.750 0.250 0.500

## Properties
Calculated total energy ... -26.2 eV/cell
Energy of formation ... -79 kJ/mol of formula units

---

(9)
DFT (PBE-GGA) results for a geometry-optimized ScTl2Cd structure.

Cell lengths 5.189, 5.189, 5.189 Å; angles 60.00, 60.00, 60.00 degrees
Atoms (fractional coordinates):
1 Sc 0.000 0.000 0.000
2 Tl 0.250 0.250 0.250
3 Tl 0.750 0.750 0.750
4 Cd 0.500 0.500 0.500

## Properties
Calculated total energy ... -12.0 eV/cell
Energy of formation ... -5 kJ/mol of formula units
Excess energy over the best structure of this formula in the dataset ... 12.1 kJ/mol of atoms

---

(10)
DFT (PBE-GGA) results for a geometry-optimized Li5TiPt6 structure.

Cell lengths 6.701, 6.701, 5.949 Å; angles 90.00, 90.00, 142.85 degrees
Atoms (fractional coordinates):
1 Li 0.000 0.000 0.000
2 Li 0.331 0.669 0.500
3 Li 0.334 0.666 0.000
4 Li 0.666 0.334 0.000
5 Li 0.669 0.331 0.500
6 Ti 0.000 0.000 0.500
7 Pt 0.167 0.833 0.248
8 Pt 0.167 0.833 0.752
9 Pt 0.500 0.500 0.247
10 Pt 0.500 0.500 0.753
11 Pt 0.833 0.167 0.248
12 Pt 0.833 0.167 0.752

## Properties
Calculated total energy ... -61.8 eV/cell
Energy of formation ... -785 kJ/mol of formula units

---

(11)
DFT (PBE-GGA) results for a geometry-optimized Nb3CoAg structure.

Cell lengths 4.866, 4.866, 4.866 Å; angles 90.00, 90.00, 90.00 degrees
Atoms (fractional coordinates):
1 Nb 0.000 0.000 0.500
2 Nb 0.000 0.500 0.000
3 Nb 0.500 0.000 0.000
4 Co 0.500 0.500 0.500
5 Ag 0.000 0.000 0.000

## Properties
Calculated total energy ... -28.9 eV/cell
Energy of formation ... 1091 kJ/mol of formula units
Excess energy over the best structure of this formula in the dataset ... 148.9 kJ/mol of atoms

---

(12)
DFT (PBE-GGA) results for a geometry-optimized LiYSc2Tl4 structure.

Cell lengths 9.045, 9.045, 9.045 Å; angles 32.74, 32.74, 32.74 degrees
Atoms (fractional coordinates):
1 Li 0.000 0.000 0.000
2 Y 0.500 0.500 0.500
3 Sc 0.253 0.253 0.253
4 Sc 0.747 0.747 0.747
5 Tl 0.120 0.120 0.120
6 Tl 0.371 0.371 0.371
7 Tl 0.629 0.629 0.629
8 Tl 0.880 0.880 0.880

## Properties
Calculated total energy ... -32.8 eV/cell
Energy of formation ... -218 kJ/mol of formula units